Here is a relaxed structure of TcGe2IrC from the Alexandria database. Energies are from PBEsol.

E_tot = -6.0140 eV per atom
DFT formation energy = 2108 meV/atom
Space-group type = P4/mmm (123)

Lattice parameters (Å, degrees): 4.649 4.649 4.675 90.00 90.00 90.00
Element x y z (fractional)
Tc (0.000, 0.000, 0.000)
Ge (0.000, 0.500, 0.000)
Ge (0.500, 0.000, 0.000)
Ir (0.000, 0.000, 0.500)
C (0.500, 0.500, 0.500)